{"formula": "Tl2SnSbO6", "functional": "GGA-PBE", "state": "optimized geometry", "lattice_angstrom": [[0.0000, 4.0988, 4.0988], [4.0988, 0.0000, 4.0988], [4.0988, 4.0988, 0.0000]], "species": ["Tl", "Tl", "Sn", "Sb", "O", "O", "O", "O", "O", "O"], "frac_coords": [[0.2500, 0.2500, 0.2500], [0.7500, 0.7500, 0.7500], [0.0000, 0.0000, 0.0000], [0.5000, 0.5000, 0.5000], [0.2546, 0.2546, 0.7454], [0.2546, 0.7454, 0.2546], [0.2546, 0.7454, 0.7454], [0.7454, 0.2546, 0.2546], [0.7454, 0.2546, 0.7454], [0.7454, 0.7454, 0.2546]], "mass_density_g_cm3": 9.0, "vol_a3_per_atom": 13.77, "final_energy_ev_per_atom": -5.293, "raw_formation_energy_ev_per_atom": -1.032, "magmom_total_mub_per_cell": 0.00}